VASP calculation (GGA-PBEsol) on a relaxed structure of CaCuHg.

Cell lengths 4.693, 4.693, 4.693 Å; angles 60.00, 60.00, 60.00 degrees
Positions (direct):
1 Ca 0.000 0.000 0.000
2 Cu 0.500 0.500 0.500
3 Hg 0.250 0.250 0.250

Properties
DOS(E_F)   1.43 states/eV/f.u.
Energy   -0.173 Ry per atom
Energy of formation   -0.012 eV per atom

***

VASP calculation (GGA-PBEsol) on a relaxed structure of NiTePO2.

Cell lengths 3.791, 3.791, 4.434 Å; angles 90.00, 90.00, 90.00 degrees
Positions (direct):
1 Ni 0.000 0.000 0.000
2 Te 0.500 0.500 0.500
3 P 0.000 0.000 0.500
4 O 0.000 0.500 0.000
5 O 0.500 0.000 0.000

Properties
DOS(E_F)   2.83 states/eV/f.u.
Energy   -0.386 Ry per atom

***

no.,magnetization (μB per formula unit)
1,0.0
2,0.0